Entry 1:
NaTc2H after structural relaxation, computed with GGA-PBE.

- energy above the most stable polymorph in this dataset (meV/atom) = 953
- SG = No. 225

a b c (Å): 4.245 4.245 4.245
angles (deg): 60.00 60.00 60.00
Last column: magnetic moment on the atom in μB.
Element x y z (fractional)
H: 0.000 0.000 0.000  -0.01
Na: 0.500 0.500 0.500  0.01
Tc: 0.750 0.750 0.750  1.42
Tc: 0.250 0.250 0.250  1.42

=====

Entry 2:
NaTcH after structural relaxation, computed with GGA-PBE.

- energy above the most stable polymorph in this dataset (meV/atom) = 46
- SG = No. 25

a b c (Å): 3.084 2.966 9.793
angles (deg): 90.00 90.00 90.00
Element x y z (fractional)
Na: 0.500 0.500 0.755
Na: 0.000 0.000 0.410
H: 0.500 0.000 0.255
Tc: 0.500 0.500 0.140
Tc: 0.000 0.000 0.998
H: 0.000 0.000 0.817

=====

Entry 3:
Na2TcH6 after structural relaxation, computed with GGA-PBE.

- energy above the most stable polymorph in this dataset (meV/atom) = 193
- SG = No. 225

a b c (Å): 5.333 5.333 5.333
angles (deg): 60.00 60.00 60.00
Last column: magnetic moment on the atom in μB.
Element x y z (fractional)
H: 0.765 0.235 0.235  -0.01
H: 0.765 0.765 0.235  -0.01
H: 0.235 0.765 0.765  -0.01
Na: 0.250 0.250 0.250  0.01
H: 0.765 0.235 0.765  -0.01
H: 0.235 0.235 0.765  -0.01
Na: 0.750 0.750 0.750  0.01
Tc: 0.000 0.000 0.000  2.60
H: 0.235 0.765 0.235  -0.01

=====

Entry 4:
NaTc3H after structural relaxation, computed with GGA-PBE.

- energy above the most stable polymorph in this dataset (meV/atom) = 2521
- SG = No. 221

a b c (Å): 4.653 4.653 4.653
angles (deg): 90.00 90.00 90.00
Last column: magnetic moment on the atom in μB.
Element x y z (fractional)
Na: 0.000 0.000 0.000  0.04
Tc: 0.000 0.000 0.500  2.08
Tc: 0.500 0.000 0.000  2.19
H: 0.500 0.500 0.500  -0.05
Tc: 0.000 0.500 0.000  2.07

=====

Entry 5:
NaTiTcH2 after structural relaxation, computed with GGA-PBE.

- total DFT energy (no corrections) (eV/cell) = -20.48
- SG = No. 123

a b c (Å): 3.615 4.923 3.615
angles (deg): 90.00 90.00 90.00
Element x y z (fractional)
Ti: 0.500 0.500 0.500
Tc: 0.000 0.000 0.000
Na: 0.000 0.500 0.000
H: 0.000 0.000 0.500
H: 0.500 0.000 0.000

=====

Entry 6:
NaVTcH2 after structural relaxation, computed with GGA-PBE.

- total DFT energy (no corrections) (eV/cell) = -23.46
- SG = No. 123

a b c (Å): 3.837 4.596 3.837
angles (deg): 90.00 90.00 90.00
Last column: magnetic moment on the atom in μB.
Element x y z (fractional)
V: 0.000 0.500 0.000  2.06
H: 0.500 0.000 0.000  0.01
Tc: 0.000 0.000 0.000  -0.66
H: 0.000 0.000 0.500  0.01
Na: 0.500 0.500 0.500  0.04

=====

Entry 7:
NaTc2HW after structural relaxation, computed with GGA-PBE.

- total DFT energy (no corrections) (eV/cell) = -34.78
- SG = No. 123

a b c (Å): 4.222 3.595 4.222
angles (deg): 90.00 90.00 90.00
Element x y z (fractional)
Tc: 0.500 0.000 0.000
H: 0.000 0.000 0.000
Na: 0.000 0.500 0.000
Tc: 0.000 0.000 0.500
W: 0.500 0.500 0.500

=====

Entry 8:
Na2TeH2 after structural relaxation, computed with GGA-PBE.

- energy above the most stable polymorph in this dataset (meV/atom) = 0
- SG = No. 15

a b c (Å): 5.188 9.041 5.259
angles (deg): 107.81 119.55 90.00
Element x y z (fractional)
H: 0.581 0.021 0.560
H: 0.419 0.979 0.440
Te: 0.233 0.250 0.000
Na: 0.863 0.127 0.254
H: 0.020 0.479 0.440
Na: 0.391 0.627 0.254
Te: 0.767 0.750 0.000
Na: 0.137 0.873 0.746
Na: 0.609 0.373 0.746
H: 0.980 0.521 0.560

=====

Entry 9:
NaTeH2 after structural relaxation, computed with GGA-PBE.

- energy above the most stable polymorph in this dataset (meV/atom) = 13
- SG = No. 1

a b c (Å): 4.980 5.033 7.949
angles (deg): 83.05 85.08 62.34
Element x y z (fractional)
Te: 0.931 0.278 0.064
H: 0.216 0.616 0.417
H: 0.582 0.872 0.376
H: 0.118 0.475 0.089
Na: 0.814 0.209 0.454
H: 0.497 0.955 0.296
Te: 0.137 0.522 0.623
Na: 0.442 0.813 0.837

=====

Entry 10:
NaTeH2 after structural relaxation, computed with GGA-PBE.

- energy above the most stable polymorph in this dataset (meV/atom) = 683
- SG = No. 225

a b c (Å): 4.323 4.323 4.323
angles (deg): 60.00 60.00 60.00
Element x y z (fractional)
H: 0.250 0.250 0.250
Te: 0.500 0.500 0.500
Na: 0.000 0.000 0.000
H: 0.750 0.750 0.750

=====

Entry 11:
Na2TeH2 after structural relaxation, computed with GGA-PBE.

- energy above the most stable polymorph in this dataset (meV/atom) = 305
- SG = No. 139

a b c (Å): 5.006 5.006 5.460
angles (deg): 62.71 62.71 90.00
Element x y z (fractional)
Na: 0.250 0.750 0.500
H: 0.245 0.245 0.510
Te: 0.000 0.000 0.000
H: 0.755 0.755 0.490
Na: 0.750 0.250 0.500

=====

Entry 12:
Na2TeH2 after structural relaxation, computed with GGA-PBE.

- energy above the most stable polymorph in this dataset (meV/atom) = 203
- SG = No. 127

a b c (Å): 8.158 8.158 5.320
angles (deg): 90.00 90.00 90.00
Element x y z (fractional)
H: 0.033 0.533 0.500
Na: 0.778 0.722 0.000
Na: 0.722 0.222 0.000
H: 0.967 0.467 0.500
H: 0.533 0.967 0.500
Na: 0.222 0.278 0.000
Te: 0.000 0.000 0.000
H: 0.467 0.033 0.500
Na: 0.278 0.778 0.000
Te: 0.500 0.500 0.000